{
  "formula": "Hf2ZrGa2",
  "functional": "PBE-GGA",
  "state": "relaxed",
  "de_polymorph_kj_per_mol_fu": 306,
  "spacegroup": "No. 139",
  "magmom_total_mub_per_fu": 0.0,
  "lattice": [[-1.981, 1.981, 6.798], [1.981, -1.981, 6.798], [1.981, 1.981, -6.798]],
  "species": ["Hf", "Hf", "Zr", "Ga", "Ga"],
  "frac_coords": [[0.104, 0.104, 0.000], [0.896, 0.896, 0.000], [0.500, 0.500, 0.000], [0.250, 0.750, 0.500], [0.750, 0.250, 0.500]]
}

=====

{
  "formula": "ZnCl2",
  "functional": "PBE-GGA",
  "state": "relaxed",
  "spacegroup": "No. 137",
  "lattice": [[3.717, 0.000, 0.000], [0.000, 3.717, 0.000], [0.000, 0.000, 10.742]],
  "species": ["Zn", "Zn", "Cl", "Cl", "Cl", "Cl"],
  "frac_coords": [[0.250, 0.750, 0.250], [0.750, 0.250, 0.750], [0.250, 0.250, 0.124], [0.250, 0.250, 0.624], [0.750, 0.750, 0.376], [0.750, 0.750, 0.876]]
}

=====

{
  "formula": "NaTmAuSe3",
  "functional": "PBE-GGA",
  "state": "relaxed",
  "spacegroup": "No. 63",
  "magmom_total_mub_per_fu": 0.1,
  "lattice": [[1.977, -7.127, 0.000], [1.977, 7.127, 0.000], [0.000, 0.000, 10.505]],
  "species": ["Na", "Na", "Tm", "Tm", "Au", "Au", "Se", "Se", "Se", "Se", "Se", "Se"],
  "frac_coords": [[0.232, 0.768, 0.750], [0.768, 0.232, 0.250], [0.000, 0.000, 0.000], [0.000, 0.000, 0.500], [0.470, 0.530, 0.250], [0.530, 0.470, 0.750], [0.091, 0.909, 0.250], [0.361, 0.639, 0.053], [0.361, 0.639, 0.447], [0.639, 0.361, 0.553], [0.639, 0.361, 0.947], [0.909, 0.091, 0.750]]
}

=====

Results for final energy: -6.731; -2.784; -4.275 (in eV per atom, following the order of the records).